Material: SmEuDy2
Method: DFT, GGA-PBE
State: relaxed

a = 5.768 Å, b = 5.768 Å, c = 5.768 Å
α = 60.00°, β = 60.00°, γ = 60.00°
Fractional positions:
Sm  0.000  0.000  0.000
Eu  0.500  0.500  0.500
Dy  0.250  0.250  0.250
Dy  0.750  0.750  0.750

Values from the calculation:
As for the calculated volume: 136 Å³/cell. Its energy relative to the elements is 15.5 kJ per mole of atoms. The calculation puts the uncorrected energy at -5.888 eV/atom. The space group is No. 225.